# 1
An optimized crystal structure of LiMg2Ag, computed with PBE.

extended XYZ file:
```
4
Lattice="4.617 0.013 0.000 -0.010 4.618 0.000 0.000 0.000 3.533" Properties=species:S:1:pos:R:3 pbc="T T T"
Mg 0.000 0.000 0.000
Mg 2.304 2.315 0.000
Ag 2.309 0.007 1.766
Li -0.005 2.309 1.766
```

Values from the calculation:
crystal system: tetragonal
excess energy over the best structure of this formula in the dataset: 37.9 meV per atom

=====

# 2
An optimized crystal structure of Li2MgAg, computed with PBE.

extended XYZ file:
```
4
Lattice="4.843 0.000 0.000 0.000 3.057 -0.053 0.000 0.638 4.932" Properties=species:S:1:pos:R:3 pbc="T T T"
Mg 2.421 0.924 1.220
Ag 2.421 2.771 3.659
Li 0.000 3.626 4.809
Li 0.000 1.917 2.509
```

Values from the calculation:
crystal system: monoclinic

=====

# 3
An optimized crystal structure of Li6Mg3Ag, computed with PBE.

extended XYZ file:
```
20
Lattice="4.903 0.000 0.000 0.000 7.040 -3.304 0.000 -0.150 11.274" Properties=species:S:1:pos:R:3 pbc="T T T"
Li 3.678 3.365 -0.891
Li 1.226 3.524 8.862
Li 3.678 1.321 1.347
Li 1.226 5.568 6.624
Li 3.678 6.697 3.181
Li 1.226 0.193 4.790
Li 3.678 1.967 4.293
Li 1.226 4.922 3.678
Li 3.678 3.938 2.426
Li 1.226 2.951 5.545
Li 3.678 5.405 8.290
Li 1.226 1.484 -0.320
Mg 3.678 6.086 0.206
Mg 1.226 0.804 7.765
Mg 3.678 2.656 7.230
Mg 1.226 4.233 0.740
Mg 3.678 0.387 9.499
Mg 1.226 6.503 -1.529
Ag 3.678 4.708 5.285
Ag 1.226 2.181 2.686
```

Values from the calculation:
crystal system: monoclinic
excess energy over the best structure of this formula in the dataset: 0.0 meV per atom

=====

# 4
An optimized crystal structure of LiMg2Ag4, computed with PBE.

extended XYZ file:
```
7
Lattice="5.654 0.413 0.278 2.630 5.108 -0.573 -1.581 -1.906 5.107" Properties=species:S:1:pos:R:3 pbc="T T T"
Li 0.000 0.000 0.000
Mg 4.014 3.079 2.258
Mg 2.689 0.536 2.555
Ag 5.186 3.852 -0.238
Ag 1.518 -0.237 5.051
Ag -0.156 0.377 2.838
Ag 6.859 3.239 1.974
```

Values from the calculation:
crystal system: monoclinic
excess energy over the best structure of this formula in the dataset: 0.0 meV per atom

=====

# 5
An optimized crystal structure of Li3Mg3Ag, computed with PBE.

extended XYZ file:
```
14
Lattice="4.752 0.000 0.000 0.000 7.119 -4.110 0.000 0.000 8.220" Properties=species:S:1:pos:R:3 pbc="T T T"
Li 3.564 6.373 0.000
Li 3.564 3.932 -1.410
Li 3.564 3.932 1.410
Li 1.188 0.745 4.110
Li 1.188 3.187 5.520
Li 1.188 3.187 2.700
Mg 3.564 5.160 4.110
Mg 3.564 0.979 1.696
Mg 3.564 0.979 6.524
Mg 1.188 1.958 0.000
Mg 1.188 6.140 2.414
Mg 1.188 6.140 -2.414
Ag 3.564 2.373 4.110
Ag 1.188 4.746 0.000
```

Values from the calculation:
crystal system: hexagonal
excess energy over the best structure of this formula in the dataset: 6.2 meV per atom

=====

# 6
An optimized crystal structure of LiMg2Ag, computed with PBE.

extended XYZ file:
```
4
Lattice="3.115 0.009 0.023 1.566 2.693 0.023 1.632 0.942 9.582" Properties=species:S:1:pos:R:3 pbc="T T T"
Li 3.154 1.821 4.819
Mg 1.624 0.937 7.282
Mg 1.576 0.910 2.313
Ag 4.748 2.741 9.611
```

Values from the calculation:
crystal system: monoclinic
excess energy over the best structure of this formula in the dataset: 139.0 meV per atom

=====

# 7
An optimized crystal structure of LiMgAg, computed with PBE.

extended XYZ file:
```
12
Lattice="-2.778 -3.763 0.330 2.008 -3.972 5.656 -5.666 1.550 4.166" Properties=species:S:1:pos:R:3 pbc="T T T"
Ag -6.534 -4.751 8.310
Ag -1.729 -2.648 6.752
Ag 0.099 -1.436 1.842
Ag -4.706 -3.539 3.399
Mg -3.474 -1.428 4.885
Mg 0.363 -4.189 5.629
Mg -2.961 -4.758 5.267
Mg -6.799 -1.997 4.523
Li -5.004 -3.069 6.685
Li -3.176 -1.857 1.774
Li -1.431 -3.118 3.466
Li -3.259 -4.329 8.378
```

Values from the calculation:
crystal system: monoclinic
excess energy over the best structure of this formula in the dataset: 5.8 meV per atom

=====

# 8
An optimized crystal structure of Li2MgAg, computed with PBE.

extended XYZ file:
```
4
Lattice="-4.081 -2.432 1.449 -0.571 -3.701 3.263 -1.582 1.123 3.846" Properties=species:S:1:pos:R:3 pbc="T T T"
Mg -3.116 -2.507 4.277
Ag -1.568 -1.274 2.143
Li -4.650 -6.129 4.712
Li -4.667 -3.738 6.416
```

Values from the calculation:
crystal system: orthorhombic

=====

# 9
An optimized crystal structure of Li6Mg2Ag, computed with PBE.

extended XYZ file:
```
9
Lattice="6.017 -0.026 -0.015 0.037 5.729 0.012 0.037 2.865 4.961" Properties=species:S:1:pos:R:3 pbc="T T T"
Li 2.015 4.356 4.096
Li 2.029 7.079 4.097
Li 2.015 5.722 1.737
Li 4.076 4.211 0.863
Li 4.062 1.489 0.861
Li 4.076 2.846 3.222
Mg 5.345 5.701 3.299
Mg 0.746 2.866 1.659
Ag 0.000 0.000 0.000
```

Values from the calculation:
crystal system: monoclinic
excess energy over the best structure of this formula in the dataset: 17.0 meV per atom

=====

# 10
An optimized crystal structure of Li8MgAg5, computed with PBE.

extended XYZ file:
```
14
Lattice="-4.603 -3.975 -3.127 1.491 -2.367 6.240 -2.804 6.229 0.314" Properties=species:S:1:pos:R:3 pbc="T T T"
Li 0.258 -1.836 4.237
Li -6.032 0.344 -2.292
Li -3.946 -1.429 -0.550
Li -5.038 2.191 0.693
Li -2.271 -1.881 2.205
Li -3.807 0.737 4.229
Li -2.252 0.530 0.680
Li -0.579 0.893 4.506
Mg -2.509 2.495 2.574
Ag -0.103 -0.214 2.029
Ag -3.222 -4.302 3.109
Ag -4.629 -0.259 1.848
Ag -3.704 1.127 -1.407
Ag -3.878 4.550 -0.132
```

Values from the calculation:
crystal system: tetragonal

=====

# 11
An optimized crystal structure of Li3Mg3Ag, computed with PBE.

extended XYZ file:
```
14
Lattice="4.854 0.000 0.000 0.000 8.045 0.000 0.000 -4.022 6.967" Properties=species:S:1:pos:R:3 pbc="T T T"
Li 3.641 -2.804 5.691
Li 3.641 2.308 6.551
Li 1.214 3.526 5.274
Li 3.641 0.497 1.693
Li 1.214 1.715 0.417
Li 1.214 6.827 1.277
Mg 3.641 2.883 3.669
Mg 3.641 5.758 2.636
Mg 1.214 0.596 6.304
Mg 3.641 3.426 0.663
Mg 1.214 -1.736 4.331
Mg 1.214 1.139 3.298
Ag 1.214 4.022 2.322
Ag 3.641 0.000 4.645
```

Values from the calculation:
crystal system: hexagonal
excess energy over the best structure of this formula in the dataset: 0.0 meV per atom

=====

# 12
An optimized crystal structure of LiMg6Ag, computed with PBE.

extended XYZ file:
```
8
Lattice="5.965 0.842 0.000 2.246 5.964 0.000 1.123 2.982 5.414" Properties=species:S:1:pos:R:3 pbc="T T T"
Li 0.000 0.000 0.000
Mg 6.189 5.142 3.122
Mg 5.066 2.160 2.292
Mg 4.268 7.628 3.122
Mg 3.145 4.646 2.292
Mg 6.139 5.101 0.000
Mg 2.071 1.704 0.000
Ag 4.105 3.403 0.000
```

Values from the calculation:
crystal system: monoclinic
excess energy over the best structure of this formula in the dataset: 188.5 meV per atom

=====

# 13
An optimized crystal structure of Li12Mg5Ag2, computed with PBE.

extended XYZ file:
```
19
Lattice="7.101 0.166 0.178 -0.258 7.055 3.717 -0.336 0.456 7.674" Properties=species:S:1:pos:R:3 pbc="T T T"
Li 0.446 0.979 6.735
Li 5.058 2.831 6.809
Li 4.899 7.193 9.107
Li 1.931 3.298 7.365
Li 1.821 6.293 8.943
Li 4.394 4.358 9.159
Li 2.113 3.319 2.410
Li 4.577 4.379 4.204
Li 4.686 1.384 2.626
Li 1.449 4.845 4.760
Li 1.609 0.484 2.462
Li 6.062 6.698 4.834
Mg 3.600 5.650 6.651
Mg 6.712 5.341 7.455
Mg 3.551 0.083 0.089
Mg -0.205 2.336 4.114
Mg 2.907 2.026 4.918
Ag -0.177 4.837 2.549
Ag -0.081 2.218 1.168
```

Values from the calculation:
crystal system: monoclinic

=====

# 14
An optimized crystal structure of Li15Mg4Ag, computed with PBE.

extended XYZ file:
```
20
Lattice="4.180 0.000 0.000 0.000 4.180 0.000 0.000 0.000 22.253" Properties=species:S:1:pos:R:3 pbc="T T T"
Li 2.090 2.090 0.000
Li 2.090 2.090 4.239
Li 2.090 2.090 8.833
Li 2.090 2.090 13.420
Li 2.090 2.090 18.014
Li 2.090 0.000 1.970
Li 2.090 0.000 6.541
Li 2.090 0.000 11.127
Li 2.090 0.000 15.712
Li 2.090 0.000 20.283
Li 0.000 2.090 1.970
Li 0.000 2.090 6.541
Li 0.000 2.090 11.127
Li 0.000 2.090 15.712
Li 0.000 2.090 20.283
Mg 0.000 0.000 4.261
Mg 0.000 0.000 8.835
Mg 0.000 0.000 13.418
Mg 0.000 0.000 17.992
Ag 0.000 0.000 0.000
```

Values from the calculation:
crystal system: tetragonal

=====

# 15
An optimized crystal structure of Li3MgAg2, computed with PBE.

extended XYZ file:
```
12
Lattice="5.137 1.786 0.000 0.753 5.386 0.000 -2.945 -3.586 7.759" Properties=species:S:1:pos:R:3 pbc="T T T"
Li 4.446 5.413 1.288
Li 1.501 1.827 6.470
Li -1.501 -1.827 6.470
Li 1.444 1.759 1.288
Li 0.000 0.000 2.415
Li 2.945 3.586 5.343
Mg 2.945 3.586 2.685
Mg 0.000 0.000 5.073
Ag 2.568 0.893 3.879
Ag 4.030 2.695 0.000
Ag 0.377 2.693 3.879
Ag 1.860 4.477 0.000
```

Values from the calculation:
crystal system: orthorhombic
excess energy over the best structure of this formula in the dataset: 0.0 meV per atom

=====

# 16
An optimized crystal structure of Li7MgAg3, computed with PBE.

extended XYZ file:
```
22
Lattice="3.036 0.000 0.000 -1.518 11.344 0.000 0.000 0.000 11.458" Properties=species:S:1:pos:R:3 pbc="T T T"
Li 0.000 9.020 8.593
Li 1.518 2.324 2.864
Li 0.000 11.165 4.372
Li 1.518 0.179 7.085
Li 1.518 0.179 10.101
Li 0.000 11.165 1.356
Li 0.000 7.456 4.783
Li 1.518 3.888 6.675
Li 0.000 4.545 4.366
Li 1.518 6.799 7.092
Li 1.518 6.799 10.095
Li 0.000 4.545 1.363
Li 0.000 7.456 0.946
Li 1.518 3.888 10.512
Mg 1.518 9.113 2.864
Mg 0.000 2.231 8.593
Ag 0.000 1.942 5.422
Ag 1.518 9.403 6.035
Ag 0.000 5.105 8.593
Ag 1.518 6.240 2.864
Ag 0.000 1.942 0.306
Ag 1.518 9.403 11.151
```

Values from the calculation:
crystal system: orthorhombic
excess energy over the best structure of this formula in the dataset: 0.0 meV per atom

=====

# 17
An optimized crystal structure of Li2Mg2Ag7, computed with PBE.

extended XYZ file:
```
11
Lattice="-4.185 1.245 -1.484 -2.335 -5.414 2.045 1.945 4.964 5.843" Properties=species:S:1:pos:R:3 pbc="T T T"
Li -1.479 -3.428 1.295
Li -2.901 -1.251 -0.035
Mg -2.242 -1.629 4.957
Mg -2.899 1.113 1.941
Ag -0.129 1.335 1.483
Ag -1.169 -1.106 2.370
Ag -4.202 -4.268 1.105
Ag -1.152 1.296 4.335
Ag -3.967 -1.763 2.544
Ag -3.979 0.543 4.511
Ag -2.697 3.544 3.413
```

Values from the calculation:
crystal system: orthorhombic
excess energy over the best structure of this formula in the dataset: 0.0 meV per atom

=====

# 18
An optimized crystal structure of Li5Mg3Ag4, computed with PBE.

extended XYZ file:
```
12
Lattice="-0.539 2.339 5.171 -1.231 -8.645 -2.206 6.324 8.079 3.238" Properties=species:S:1:pos:R:3 pbc="T T T"
Li 4.280 1.739 3.023
Li 2.893 5.209 4.204
Li -0.991 -2.583 2.732
Li 5.545 4.356 3.470
Li 0.274 0.034 3.179
Mg 1.606 2.569 3.991
Mg 3.162 4.039 1.619
Mg 2.948 -0.797 2.211
Ag 2.748 0.129 4.941
Ag 4.048 3.040 5.537
Ag 0.506 -1.268 0.665
Ag 1.806 1.644 1.262
```

Values from the calculation:
crystal system: triclinic

=====

# 19
An optimized crystal structure of LiMg2Ag4, computed with PBE.

extended XYZ file:
```
7
Lattice="5.199 -0.769 -2.299 -2.813 4.883 -1.069 -0.443 0.769 5.667" Properties=species:S:1:pos:R:3 pbc="T T T"
Li 0.000 0.000 0.000
Mg 1.193 2.057 -1.684
Mg 2.378 0.000 1.684
Ag 2.599 -0.385 -1.150
Ag 0.971 2.442 1.150
Ag -0.222 0.385 2.834
Ag -1.407 2.442 -0.534
```

Values from the calculation:
crystal system: tetragonal
excess energy over the best structure of this formula in the dataset: 18.2 meV per atom

=====

# 20
An optimized crystal structure of Li3Mg4Ag5, computed with PBE.

extended XYZ file:
```
12
Lattice="4.842 0.000 0.000 2.421 6.713 0.275 2.421 2.349 7.009" Properties=species:S:1:pos:R:3 pbc="T T T"
Li 4.842 5.190 6.180
Li 2.421 4.531 3.642
Li 4.842 3.872 1.104
Mg 7.262 3.729 6.526
Mg 4.842 7.809 4.640
Mg 4.842 1.253 2.644
Mg 2.421 5.333 0.758
Ag 4.842 6.649 1.743
Ag 4.842 4.531 3.642
Ag 2.421 2.688 1.805
Ag 7.262 6.373 5.478
Ag 4.842 2.412 5.541
```

Values from the calculation:
crystal system: monoclinic

=====

no.,energy relative to the elements (kJ/mol of atoms),magnetic moment (μB/cell)
1,-16.7,0.0
2,-11.5,0.0
3,-7.8,0.0
4,-10.3,0.0
5,-8.4,0.0
6,-6.9,0.0
7,-19.2,0.0
8,-16.5,0.0
9,-1.3,0.0
10,-8.1,0.0
11,-9.0,0.0
12,8.9,0.0
13,-5.1,0.0
14,-4.7,0.0
15,-15.7,0.0
16,-11.4,0.0
17,-11.2,0.0
18,-16.0,0.0
19,-8.5,0.0
20,-8.8,0.0